(1)
An optimized crystal structure of LiSc3Pb3Se8, computed with PBE.

Results
- uncorrected formation energy (eV per formula unit) = -16.62
- space group = R-3m (166)

Cell lengths 8.009, 8.008, 8.362 Å; angles 118.60, 90.00, 120.00 degrees
Fractional positions:
Se 0.757 0.028 0.285
Li 0.000 0.000 0.500
Se 0.757 0.515 0.285
Se 0.730 0.972 0.715
Sc 0.000 0.500 0.500
Se 0.243 0.972 0.715
Sc 0.500 0.000 0.500
Sc 0.500 0.500 0.500
Se 0.261 0.522 0.283
Pb 0.000 0.000 0.000
Se 0.243 0.485 0.715
Se 0.739 0.478 0.717
Se 0.270 0.028 0.285
Pb 0.000 0.500 0.000
Pb 0.500 0.500 0.000

(2)
An optimized crystal structure of LiSmScPb, computed with PBE.

Results
- space group = F-43m (216)
- energy relative to the elements (kJ per mole of atoms) = -25

Cell lengths 5.195, 5.195, 5.195 Å; angles 60.00, 60.00, 60.00 degrees
Fractional positions:
Sm 0.750 0.750 0.750
Pb 0.500 0.500 0.500
Sc 0.250 0.250 0.250
Li 0.000 0.000 0.000

(3)
An optimized crystal structure of LiScSnPb, computed with PBE.

Results
- space group = F-43m (216)
- energy relative to the elements (kJ per mole of atoms) = -29

Cell lengths 5.091, 5.091, 5.091 Å; angles 60.00, 60.00, 60.00 degrees
Fractional positions:
Sc 0.000 0.000 0.000
Li 0.500 0.500 0.500
Sn 0.750 0.750 0.750
Pb 0.250 0.250 0.250

(4)
An optimized crystal structure of Sr2LiScPb, computed with PBE.

Results
- space group = P4/mmm (123)
- energy relative to the elements (kJ per mole of atoms) = 29

Cell lengths 6.415, 5.153, 6.415 Å; angles 90.00, 90.00, 90.00 degrees
Last column: magnetic moment on the atom in μB.
Fractional positions:
Sc 0.500 0.500 0.500  0.86
Sr 0.500 0.000 0.000  0.04
Sr 0.000 0.000 0.500  0.04
Pb 0.000 0.000 0.000  0.00
Li 0.000 0.500 0.000  0.00

(5)
An optimized crystal structure of LiTbScPb, computed with PBE.

Results
- space group = F-43m (216)
- energy relative to the elements (kJ per mole of atoms) = -24

Cell lengths 5.148, 5.148, 5.148 Å; angles 60.00, 60.00, 60.00 degrees
Fractional positions:
Tb 0.750 0.750 0.750
Sc 0.250 0.250 0.250
Pb 0.500 0.500 0.500
Li 0.000 0.000 0.000

(6)
An optimized crystal structure of LiScTlPb, computed with PBE.

Results
- energy relative to the lowest polymorph listed for this composition (meV per atom) = 43
- space group = F-43m (216)
- energy relative to the elements (kJ per mole of atoms) = -24

Cell lengths 5.093, 5.093, 5.093 Å; angles 60.00, 60.00, 60.00 degrees
Fractional positions:
Sc 0.500 0.500 0.500
Li 0.000 0.000 0.000
Pb 0.250 0.250 0.250
Tl 0.750 0.750 0.750

(7)
An optimized crystal structure of LiScTlPb, computed with PBE.

Results
- energy relative to the lowest polymorph listed for this composition (meV per atom) = 0
- space group = Pmmm (47)
- energy relative to the elements (kJ per mole of atoms) = -28

Cell lengths 4.026, 4.878, 4.700 Å; angles 90.00, 90.00, 90.00 degrees
Fractional positions:
Tl 0.500 0.000 0.500
Li 0.000 0.000 0.000
Pb 0.500 0.500 0.000
Sc 0.000 0.500 0.500

(8)
An optimized crystal structure of Li2TmSc2Pb2, computed with PBE.

Results
- space group = R-3m (166)
- energy relative to the elements (kJ per mole of atoms) = -27

Cell lengths 4.740, 4.740, 8.757 Å; angles 74.30, 74.30, 60.00 degrees
Last column: magnetic moment on the atom in μB.
Fractional positions:
Tm 0.000 0.000 0.000  0.12
Sc 0.134 0.134 0.599  0.29
Sc 0.866 0.866 0.401  0.29
Li 0.423 0.423 0.730  0.00
Li 0.577 0.577 0.270  0.00
Pb 0.739 0.739 0.784  -0.02
Pb 0.261 0.261 0.216  -0.02